Entry from Alexandria via LeMat-Bulk: a geometry-optimized HoCu7Ni5 structure (PBE-GGA).

extended XYZ file:
```
13
Lattice="-2.399 4.154 4.155 2.399 -4.154 4.155 2.399 4.154 -4.155" Properties=species:S:1:pos:R:3 pbc="T T T"
Ho 0.000 0.000 0.000
Cu 2.399 1.829 -0.039
Cu 2.399 -1.230 4.106
Cu 0.000 0.000 2.887
Cu 2.399 1.230 4.106
Cu 0.000 0.000 5.374
Cu 0.000 4.154 2.269
Cu 0.000 2.325 4.116
Ni 2.399 0.000 1.798
Ni 1.198 2.060 2.035
Ni 3.600 2.060 2.035
Ni -1.201 2.094 6.190
Ni 1.201 2.094 6.190
```

Formation energy from the elements, eV per atom: -0.124


Entry from Alexandria via LeMat-Bulk: a geometry-optimized YTmMg3 structure (PBE-GGA).

extended XYZ file:
```
10
Lattice="2.985 -8.068 0.000 2.985 8.068 0.000 0.000 0.000 5.807" Properties=species:S:1:pos:R:3 pbc="T T T"
Y 2.985 4.995 4.356
Y 2.985 -4.995 1.452
Tm 2.985 1.132 1.452
Tm 2.985 -1.132 4.356
Mg 0.000 0.000 0.000
Mg 0.000 0.000 2.904
Mg 1.521 2.132 4.356
Mg 1.521 -2.132 1.452
Mg 4.450 2.132 4.356
Mg 4.450 -2.132 1.452
```

Formation energy from the elements, eV per atom: 0.114


How do the records compare in DFT total energy? In the order shown, they have -0.1803; -0.1113 hartree per atom.